PmScRu: relaxed, PBE. Values from VASP.

Cell and atoms, written as Quantum ESPRESSO input:
```
&SYSTEM
  ibrav = 0, nat = 3, ntyp = 3
/
ATOMIC_SPECIES
Pm 145.00 Pm.upf
Sc 44.96 Sc.upf
Ru 101.07 Ru.upf
CELL_PARAMETERS angstrom
0.0000 3.3237 3.3237
3.3237 0.0000 3.3237
3.3237 3.3237 0.0000
ATOMIC_POSITIONS crystal
Pm 0.0000 0.0000 0.0000
Sc 0.5000 0.5000 0.5000
Ru 0.2500 0.2500 0.2500
```

Output
Distance to the lowest polymorph of the same formula, meV/atom: 6
E_form, eV/f.u.: -0.607

=====

HfOs2S: relaxed, PBE. Values from VASP.

Cell and atoms, written as Quantum ESPRESSO input:
```
&SYSTEM
  ibrav = 0, nat = 8, ntyp = 3
/
ATOMIC_SPECIES
Hf 178.49 Hf.upf
Os 190.23 Os.upf
S 32.06 S.upf
CELL_PARAMETERS angstrom
-2.9592 2.9592 4.7658
2.9592 -2.9592 4.7658
2.9592 2.9592 -4.7658
ATOMIC_POSITIONS crystal
Hf 0.0000 0.0000 0.0000
Hf 0.7500 0.2500 0.5000
Os 0.1887 0.6250 0.0637
Os 0.3750 0.4387 0.5637
Os 0.5613 0.1250 0.9363
Os 0.8750 0.8113 0.4363
S 0.2500 0.7500 0.5000
S 0.5000 0.5000 0.0000
```

Output
Raw formation energy, meV per atom: 553

=====

SmDy6Er: relaxed, PBE. Values from VASP.

Cell and atoms, written as Quantum ESPRESSO input:
```
&SYSTEM
  ibrav = 0, nat = 8, ntyp = 3
/
ATOMIC_SPECIES
Sm 150.36 Sm.upf
Dy 162.50 Dy.upf
Er 167.26 Er.upf
CELL_PARAMETERS angstrom
5.0195 0.0000 0.0000
0.0000 5.0195 0.0000
0.0000 0.0000 10.0305
ATOMIC_POSITIONS crystal
Sm 0.0000 0.0000 0.0000
Dy 0.0000 0.5000 0.2519
Dy 0.0000 0.5000 0.7481
Dy 0.5000 0.0000 0.2519
Dy 0.5000 0.0000 0.7481
Dy 0.5000 0.5000 0.0000
Dy 0.5000 0.5000 0.5000
Er 0.0000 0.0000 0.5000
```

Output
Distance to the lowest polymorph of the same formula, meV/atom: 0
E_form, eV/f.u.: 0.172

=====

Pr4SmZn4: relaxed, PBE. Values from VASP.

Cell and atoms, written as Quantum ESPRESSO input:
```
&SYSTEM
  ibrav = 0, nat = 9, ntyp = 3
/
ATOMIC_SPECIES
Pr 140.91 Pr.upf
Sm 150.36 Sm.upf
Zn 65.41 Zn.upf
CELL_PARAMETERS angstrom
-4.9451 4.9451 2.5865
4.9451 -4.9451 2.5865
4.9451 4.9451 -2.5865
ATOMIC_POSITIONS crystal
Pr 0.1157 0.6569 0.7726
Pr 0.3431 0.1157 0.4589
Pr 0.6569 0.8843 0.5411
Pr 0.8843 0.3431 0.2274
Sm 0.0000 0.0000 0.0000
Zn 0.3271 0.4282 0.7553
Zn 0.4282 0.6729 0.1011
Zn 0.5718 0.3271 0.8989
Zn 0.6729 0.5718 0.2447
```

Output
E_form, eV/f.u.: -1.281

=====

LiSmNiGe2: relaxed, PBE. Values from VASP.

Cell and atoms, written as Quantum ESPRESSO input:
```
&SYSTEM
  ibrav = 0, nat = 5, ntyp = 4
/
ATOMIC_SPECIES
Li 6.94 Li.upf
Sm 150.36 Sm.upf
Ni 58.69 Ni.upf
Ge 72.64 Ge.upf
CELL_PARAMETERS angstrom
-2.0517 2.0517 5.1403
2.0517 -2.0517 5.1403
2.0517 2.0517 -5.1403
ATOMIC_POSITIONS crystal
Li 0.0000 0.0000 0.0000
Sm 0.2500 0.7500 0.5000
Ni 0.5000 0.5000 0.0000
Ge 0.6271 0.1271 0.5000
Ge 0.8729 0.3729 0.5000
```

Output
E_form, eV/f.u.: -3.175

=====

KZrAl2Cl: relaxed, PBE. Values from VASP.

Cell and atoms, written as Quantum ESPRESSO input:
```
&SYSTEM
  ibrav = 0, nat = 5, ntyp = 4
/
ATOMIC_SPECIES
K 39.10 K.upf
Zr 91.22 Zr.upf
Al 26.98 Al.upf
Cl 35.45 Cl.upf
CELL_PARAMETERS angstrom
5.0274 0.0000 0.0000
0.0000 5.0274 0.0000
0.0000 0.0000 5.1346
ATOMIC_POSITIONS crystal
K 0.0000 0.0000 0.0000
Zr 0.5000 0.5000 0.0000
Al 0.0000 0.5000 0.5000
Al 0.5000 0.0000 0.5000
Cl 0.0000 0.0000 0.5000
```

Output
Raw formation energy, meV per atom: 552

=====

Be2Cl: relaxed, PBE. Values from VASP.

Cell and atoms, written as Quantum ESPRESSO input:
```
&SYSTEM
  ibrav = 0, nat = 3, ntyp = 2
/
ATOMIC_SPECIES
Be 9.01 Be.upf
Cl 35.45 Cl.upf
CELL_PARAMETERS angstrom
3.7658 0.0000 0.0000
-1.8829 3.2613 0.0000
0.0000 0.0000 4.1215
ATOMIC_POSITIONS crystal
Be 0.3333 0.6667 0.0000
Be 0.6667 0.3333 0.0000
Cl 0.0000 0.0000 0.5000
```

Output
Distance to the lowest polymorph of the same formula, meV/atom: 1258
Raw formation energy, meV per atom: 926

=====

CuRe2Mo: relaxed, PBE. Values from VASP.

Cell and atoms, written as Quantum ESPRESSO input:
```
&SYSTEM
  ibrav = 0, nat = 8, ntyp = 3
/
ATOMIC_SPECIES
Cu 63.55 Cu.upf
Re 186.21 Re.upf
Mo 95.94 Mo.upf
CELL_PARAMETERS angstrom
-3.5135 3.5135 2.6200
3.5135 -3.5135 2.6200
3.5135 3.5135 -2.6200
ATOMIC_POSITIONS crystal
Cu 0.0000 0.0000 0.0000
Cu 0.7500 0.2500 0.5000
Re 0.1384 0.6250 0.0134
Re 0.3750 0.3884 0.5134
Re 0.6116 0.1250 0.9866
Re 0.8750 0.8616 0.4866
Mo 0.2500 0.7500 0.5000
Mo 0.5000 0.5000 0.0000
```

Output
Distance to the lowest polymorph of the same formula, meV/atom: 803
E_form, eV/f.u.: 3.912

=====

Yb3Si6Pd20: relaxed, PBE. Values from VASP.

Cell and atoms, written as Quantum ESPRESSO input:
```
&SYSTEM
  ibrav = 0, nat = 29, ntyp = 3
/
ATOMIC_SPECIES
Yb 173.04 Yb.upf
Si 28.09 Si.upf
Pd 106.42 Pd.upf
CELL_PARAMETERS angstrom
0.0000 6.1628 6.1628
6.1628 0.0000 6.1628
6.1628 6.1628 0.0000
ATOMIC_POSITIONS crystal
Yb 0.0000 0.0000 0.0000
Yb 0.2500 0.2500 0.2500
Yb 0.7500 0.7500 0.7500
Si 0.2678 0.2678 0.7322
Si 0.2678 0.7322 0.2678
Si 0.2678 0.7322 0.7322
Si 0.7322 0.2678 0.2678
Si 0.7322 0.2678 0.7322
Si 0.7322 0.7322 0.2678
Pd 0.0000 0.0000 0.3452
Pd 0.0000 0.0000 0.6548
Pd 0.0000 0.3452 0.0000
Pd 0.0000 0.3452 0.6548
Pd 0.0000 0.6548 0.0000
Pd 0.0000 0.6548 0.3452
Pd 0.1536 0.6155 0.6155
Pd 0.3452 0.0000 0.0000
Pd 0.3452 0.0000 0.6548
Pd 0.3452 0.6548 0.0000
Pd 0.3845 0.3845 0.3845
Pd 0.3845 0.3845 0.8464
Pd 0.3845 0.8464 0.3845
Pd 0.6155 0.1536 0.6155
Pd 0.6155 0.6155 0.1536
Pd 0.6155 0.6155 0.6155
Pd 0.6548 0.0000 0.0000
Pd 0.6548 0.0000 0.3452
Pd 0.6548 0.3452 0.0000
Pd 0.8464 0.3845 0.3845
```

Output
Raw formation energy, meV per atom: -752

=====

MnHgCl3: relaxed, PBE. Values from VASP.

Cell and atoms, written as Quantum ESPRESSO input:
```
&SYSTEM
  ibrav = 0, nat = 20, ntyp = 3
/
ATOMIC_SPECIES
Mn 54.94 Mn.upf
Hg 200.59 Hg.upf
Cl 35.45 Cl.upf
CELL_PARAMETERS angstrom
6.8208 0.0000 0.0000
0.0000 9.3711 0.0000
-4.1582 0.0000 10.3995
ATOMIC_POSITIONS crystal
Mn 0.0784 0.1325 0.4209
Mn 0.0784 0.8675 0.9209
Mn 0.9216 0.1325 0.0791
Mn 0.9216 0.8675 0.5791
Hg 0.0066 0.4748 0.6260
Hg 0.0066 0.5252 0.1260
Hg 0.9934 0.4748 0.8740
Hg 0.9934 0.5252 0.3740
Cl 0.1339 0.1288 0.9572
Cl 0.1339 0.8712 0.4572
Cl 0.2376 0.1431 0.2673
Cl 0.2376 0.8569 0.7673
Cl 0.3444 0.2482 0.5669
Cl 0.3444 0.7518 0.0669
Cl 0.6556 0.2482 0.9331
Cl 0.6556 0.7518 0.4331
Cl 0.7624 0.1431 0.2327
Cl 0.7624 0.8569 0.7327
Cl 0.8661 0.1288 0.5428
Cl 0.8661 0.8712 0.0428
```

Output
Distance to the lowest polymorph of the same formula, meV/atom: 0
Raw formation energy, meV per atom: -765

=====

The following density values (in g cm⁻³) correspond, in order, to the records above: 6.6, 11.8, 8.5, 6.4, 6.9, 2.8, 1.8, 13.7, 10.0, 3.6.